First-principles (GGA-PBE) data for a relaxed Rb2MoCCl6 crystal, as listed in Alexandria.

Structure (extended XYZ):
```
10
Lattice="-5.4672 -4.8342 -2.9419 4.6889 -1.5796 -6.1184 1.4417 -6.6765 -2.2313" Properties=species:S:1:pos:R:3 pbc="T T T"
Cl 0.1941 -8.2565 -7.8393
Mo 0.0000 0.0000 0.0000
Cl 0.4693 -4.8338 -3.4522
C -0.3892 -3.2069 -4.5301
Cl -0.1708 -1.4072 -1.9878
Rb -2.2073 -7.3588 -4.8516
Cl 2.4606 -2.2936 -5.4214
Rb 2.8707 -5.7315 -6.4399
Cl -3.2390 -4.1202 -3.6388
Cl -0.6075 -5.0066 -7.0724
```

Results
Space group = I4/mmm

=====

First-principles (GGA-PBE) data for a relaxed RbCuAuSe2 crystal, as listed in Alexandria.

Structure (extended XYZ):
```
10
Lattice="7.2685 0.0000 0.0000 0.0000 6.2920 0.0000 0.0000 -3.1460 6.0533" Properties=species:S:1:pos:R:3 pbc="T T T"
Au 0.0000 3.1460 0.0000
Au 0.0000 0.0000 0.0000
Cu 3.6343 4.7190 0.0000
Cu 3.6343 1.5730 0.0000
Se 5.0900 3.1460 1.1560
Se 2.1786 0.0000 1.1560
Rb 5.3573 0.0000 3.0266
Se 2.1786 0.0000 4.8973
Rb 1.9112 3.1460 3.0266
Se 5.0900 3.1460 4.8973
```

Results
Space group = Cmme

=====

First-principles (GGA-PBE) data for a relaxed K2SiNi crystal, as listed in Alexandria.

Structure (extended XYZ):
```
4
Lattice="-5.7597 -4.1546 6.7183 -7.2669 -5.6310 3.3250 -4.0719 -7.3450 5.0042" Properties=species:S:1:pos:R:3 pbc="T T T"
K -3.6297 -3.6365 3.1943
Si -13.5360 -13.5614 11.9124
K -0.6457 -0.6469 0.5682
Ni -7.8363 -7.8510 6.8964
```

Results
Space group = R3m

=====

Per-record calculated total energy, eV per atom: -3.8699 -3.5425 -3.3082
Per-record ρ, g cm⁻³: 2.90 6.05 2.09
Per-record energy relative to the elements, uncorrected, eV/atom: -0.563 -0.480 0.042